(1)
Entry from OQMD: a geometry-optimized PrCo2As2 structure (PBE).

Properties
V	169.80	Å³ per cell
calculated total energy	-6.38	eV/atom
M_tot	1.6	μB per formula unit

a b c (Å): 4.0664 4.0664 10.2684
angles (deg): 90.00 90.00 90.00
Closest atoms and distances in Å follow each position.
Space group I4/mmm (No. 139)
Symmetry-distinct sites (fractional):
Pr 0.0000 0.0000 0.0000 x2  8 As 3.19, 8 Co 3.27
Co 0.0000 0.5000 0.2500 x4  4 As 2.35
As 0.0000 0.0000 0.3646 x4  4 Co 2.35

(2)
Entry from OQMD: a geometry-optimized Tm3InSn2PdPt2 structure (PBE).

Properties
V	383.44	Å³ per cell
calculated total energy	-5.63	eV/atom
M_tot	0.0	μB per formula unit

a b c (Å): 3.7883 13.2813 7.6211
angles (deg): 90.00 90.00 90.00
Closest atoms and distances in Å follow each position.
Space group Amm2 (No. 38)
Symmetry-distinct sites (fractional):
Tm 0.0000 0.0000 0.0000 x2  4 Pt 3.00, 1 Pd 3.07, 2 In 3.14, 4 Sn 3.34
Tm 0.0000 0.2017 0.6140 x4  4 Pt 2.98-3.01, 1 Pd 3.13, 4 Sn 3.17-3.31, 2 In 3.31
In 0.5000 0.0000 0.6716 x2  2 Pd 2.79, 2 Pt 2.87
Sn 0.5000 0.1320 0.2788 x4  2 Pd 2.75, 2 Pt 2.85
Pd 0.0000 0.0000 0.4024 x2  4 Sn 2.75, 2 In 2.79, 1 Tm 3.07
Pt 0.5000 0.1672 0.9103 x4  2 Sn 2.85, 1 In 2.87, 6 Tm 2.98-3.01

(3)
Entry from OQMD: a geometry-optimized Gd structure (PBE).

Properties
V	263.43	Å³ per cell
ΔE to the lowest computed polymorph	18.3	kJ per mole of atoms
M_tot	0.0	μB per formula unit

a b c (Å): 5.8210 12.3735 3.6574
angles (deg): 90.00 90.00 90.00
Closest atoms and distances in Å follow each position.
Space group Cmce (No. 64)
Symmetry-distinct sites (fractional):
Gd 0.0000 0.1368 0.0223 x8  9 Gd 3.34-3.66

(4)
Entry from OQMD: a geometry-optimized MgPdNO structure (PBE).

Properties
V	100.47	Å³ per cell
ΔE to the lowest computed polymorph	25.6	kJ per mole of atoms

a b c (Å): 3.1257 5.7499 5.5903
angles (deg): 90.00 90.00 90.00
Closest atoms and distances in Å follow each position.
Space group Pmc2_1 (No. 26)
Symmetry-distinct sites (fractional):
Mg 0.0000 0.2210 0.0000 x2  2 O 1.95, 2 N 2.06-2.11
Pd 0.5000 0.2599 0.5171 x2  2 N 1.99, 2 O 2.14-2.19
N 0.0000 0.1171 0.3533 x2  2 Pd 1.99, 2 Mg 2.06-2.11
O 0.5000 0.3849 0.8777 x2  2 Mg 1.95, 1 Pd 2.14

(5)
Entry from OQMD: a geometry-optimized ZrPbAu structure (PBE).

Properties
V	265.86	Å³ per cell
calculated total energy	-5.34	eV/atom
M_tot	0.0	μB per formula unit

a b c (Å): 6.6159 4.7611 8.4401
angles (deg): 90.00 90.00 90.00
Closest atoms and distances in Å follow each position.
Space group Pnma (No. 62)
Symmetry-distinct sites (fractional):
Zr 0.0115 0.2500 0.2445 x4  5 Au 3.06-3.42, 5 Pb 3.08-3.31, 2 Zr 3.31
Pb 0.2217 0.2500 0.9182 x4  4 Au 2.83-3.02, 3 Zr 3.08-3.15
Au 0.1785 0.2500 0.5841 x4  4 Pb 2.83-3.02, 3 Zr 3.06-3.07

(6)
Entry from OQMD: a geometry-optimized RbMgTc structure (PBE).

Properties
V	451.52	Å³ per cell
ΔE to the lowest computed polymorph	40.6	kJ per mole of atoms
M_tot	3.7	μB per formula unit

a b c (Å): 7.6717 7.6717 7.6717
angles (deg): 90.00 90.00 90.00
Closest atoms and distances in Å follow each position.
Space group F-43m (No. 216)
Symmetry-distinct sites (fractional):
Rb 0.0000 0.0000 0.0000 x4  4 Tc 3.32, 4 Mg 3.32
Mg 0.2500 0.2500 0.7500 x4  4 Rb 3.32
Tc 0.2500 0.2500 0.2500 x4  4 Rb 3.32

(7)
Entry from OQMD: a geometry-optimized BeFeSi structure (PBE).

Properties
V	131.28	Å³ per cell
calculated total energy	-5.77	eV/atom
M_tot	0.2	μB per formula unit

a b c (Å): 5.0823 5.0823 5.0823
angles (deg): 90.00 90.00 90.00
Closest atoms and distances in Å follow each position.
Space group F-43m (No. 216)
Symmetry-distinct sites (fractional):
Be 0.0000 0.0000 0.0000 x4  4 Fe 2.20, 4 Si 2.20
Fe 0.2500 0.2500 0.7500 x4  4 Be 2.20
Si 0.2500 0.2500 0.2500 x4  4 Be 2.20

(8)
Entry from OQMD: a geometry-optimized HoTm3Ga2C2 structure (PBE).

Properties
V	165.12	Å³ per cell
calculated total energy	-5.71	eV/atom
M_tot	0.5	μB per formula unit

a b c (Å): 3.5219 3.5219 15.3716
angles (deg): 90.00 90.00 120.00
Closest atoms and distances in Å follow each position.
Space group P3m1 (No. 156)
Symmetry-distinct sites (fractional):
Ho 0.0000 0.0000 0.0000 x1  3 C 2.44
Tm 0.0000 0.0000 0.6729 x1  3 C 2.43
Tm 0.3333 0.6667 0.1752 x1  3 C 2.44
Tm 0.3333 0.6667 0.4998 x1  3 C 2.43
Ga 0.0000 0.0000 0.3371 x1  6 Tm 3.21-3.22, 6 Ga 3.52
Ga 0.3333 0.6667 0.8353 x1  3 Tm 3.22, 3 Ho 3.25, 6 Ga 3.52
C 0.6667 0.3333 0.0878 x1  3 Tm 2.44, 3 Ho 2.44
C 0.6667 0.3333 0.5866 x1  6 Tm 2.43

(9)
Entry from OQMD: a geometry-optimized MgCoHgBi structure (PBE).

Properties
V	317.54	Å³ per cell
ΔE to the lowest computed polymorph	0.0	kJ per mole of atoms
M_tot	1.3	μB per formula unit

a b c (Å): 6.8223 6.8223 6.8223
angles (deg): 90.00 90.00 90.00
Closest atoms and distances in Å follow each position.
Space group F-43m (No. 216)
Symmetry-distinct sites (fractional):
Mg 0.0000 0.0000 0.0000 x4  4 Hg 2.95, 4 Bi 2.95
Co 0.0000 0.0000 0.5000 x4  4 Bi 2.95, 4 Hg 2.95
Hg 0.2500 0.2500 0.2500 x4  4 Co 2.95, 4 Mg 2.95
Bi 0.2500 0.2500 0.7500 x4  4 Co 2.95, 4 Mg 2.95

(10)
Entry from OQMD: a geometry-optimized RbThIr structure (PBE).

Properties
V	361.82	Å³ per cell
calculated total energy	-5.32	eV/atom
M_tot	0.0	μB per formula unit

a b c (Å): 7.1257 7.1257 7.1257
angles (deg): 90.00 90.00 90.00
Closest atoms and distances in Å follow each position.
Space group F-43m (No. 216)
Symmetry-distinct sites (fractional):
Rb 0.0000 0.0000 0.0000 x4  4 Ir 3.09
Th 0.0000 0.0000 0.5000 x4  4 Ir 3.09
Ir 0.2500 0.2500 0.2500 x4  4 Rb 3.09, 4 Th 3.09

(11)
Entry from OQMD: a geometry-optimized MgTlCoRe structure (PBE).

Properties
V	256.93	Å³ per cell
ΔE to the lowest computed polymorph	0.0	kJ per mole of atoms
M_tot	3.0	μB per formula unit

a b c (Å): 6.3573 6.3573 6.3573
angles (deg): 90.00 90.00 90.00
Closest atoms and distances in Å follow each position.
Space group F-43m (No. 216)
Symmetry-distinct sites (fractional):
Mg 0.0000 0.0000 0.0000 x4  4 Tl 2.75, 4 Re 2.75
Tl 0.2500 0.2500 0.2500 x4  4 Co 2.75, 4 Mg 2.75
Co 0.0000 0.0000 0.5000 x4  4 Tl 2.75, 4 Re 2.75
Re 0.2500 0.2500 0.7500 x4  4 Co 2.75, 4 Mg 2.75

(12)
Entry from OQMD: a geometry-optimized Nd2AsSe structure (PBE).

Properties
V	217.33	Å³ per cell
calculated total energy	-6.15	eV/atom
M_tot	0.0	μB per formula unit

a b c (Å): 4.2474 5.9992 8.5290
angles (deg): 90.00 90.00 90.00
Closest atoms and distances in Å follow each position.
Space group Pmmn (No. 59, origin choice 2)
Symmetry-distinct sites (fractional):
Nd 0.2500 0.2500 0.1173 x2  4 As 2.97-3.00, 2 Se 3.07
Nd 0.2500 0.2500 0.6358 x2  2 As 2.94, 4 Se 3.00-3.06
As 0.2500 0.7500 0.1265 x2  6 Nd 2.94-3.00
Se 0.2500 0.7500 0.6223 x2  6 Nd 3.00-3.07

(13)
Entry from OQMD: a geometry-optimized InOsAu3S4 structure (PBE).

Properties
V	235.82	Å³ per cell
calculated total energy	-4.20	eV/atom
M_tot	0.0	μB per formula unit

a b c (Å): 6.1782 6.1782 6.1782
angles (deg): 90.00 90.00 90.00
Closest atoms and distances in Å follow each position.
Space group P-43m (No. 215)
Symmetry-distinct sites (fractional):
In 0.0000 0.0000 0.0000 x1  4 S 3.07
Os 0.5000 0.5000 0.5000 x1  4 S 2.29
Au 0.0000 0.5000 0.5000 x3  4 S 2.57
S 0.2864 0.2864 0.2864 x4  1 Os 2.29

(14)
Entry from OQMD: a geometry-optimized YCdFeGe structure (PBE).

Properties
V	309.90	Å³ per cell
ΔE to the lowest computed polymorph	15.9	kJ per mole of atoms
M_tot	1.9	μB per formula unit

a b c (Å): 6.7672 6.7672 6.7672
angles (deg): 90.00 90.00 90.00
Closest atoms and distances in Å follow each position.
Space group F-43m (No. 216)
Symmetry-distinct sites (fractional):
Y 0.0000 0.0000 0.0000 x4  4 Fe 2.93, 4 Cd 2.93
Cd 0.2500 0.2500 0.2500 x4  4 Y 2.93, 4 Ge 2.93
Fe 0.2500 0.2500 0.7500 x4  4 Ge 2.93, 4 Y 2.93
Ge 0.0000 0.0000 0.5000 x4  4 Cd 2.93, 4 Fe 2.93

(15)
Entry from OQMD: a geometry-optimized Zr4As3W2N3 structure (PBE).

Properties
V	722.90	Å³ per cell
calculated total energy	-9.10	eV/atom
M_tot	0.0	μB per formula unit

a b c (Å): 10.2042 5.9149 12.4232
angles (deg): 90.00 105.40 90.00
Closest atoms and distances in Å follow each position.
Space group C2/c (No. 15)
Symmetry-distinct sites (fractional):
Zr 0.1163 0.0932 0.0985 x8  3 N 2.26-2.31
Zr 0.2215 0.0755 0.4016 x8  3 N 2.26-2.29
As 0.0000 0.1145 0.7500 x4  2 W 2.70, 4 Zr 2.76-2.77
As 0.1527 0.4288 0.2517 x8  2 W 2.65-2.68, 4 Zr 2.71-2.76
W 0.0485 0.4241 0.9157 x8  3 N 2.22-2.29
N 0.0867 0.2421 0.5000 x8  2 W 2.22, 4 Zr 2.28-2.31
N 0.2500 0.2500 0.0000 x4  4 Zr 2.26, 2 W 2.29

(16)
Entry from OQMD: a geometry-optimized BaHoPd structure (PBE).

Properties
V	362.19	Å³ per cell
ΔE to the lowest computed polymorph	70.8	kJ per mole of atoms
M_tot	0.0	μB per formula unit

a b c (Å): 7.1282 7.1282 7.1282
angles (deg): 90.00 90.00 90.00
Closest atoms and distances in Å follow each position.
Space group F-43m (No. 216)
Symmetry-distinct sites (fractional):
Ba 0.0000 0.0000 0.0000 x4  4 Ho 3.09, 4 Pd 3.09
Ho 0.2500 0.2500 0.7500 x4  4 Ba 3.09
Pd 0.2500 0.2500 0.2500 x4  4 Ba 3.09

(17)
Entry from OQMD: a geometry-optimized CdHgSO structure (PBE).

Properties
V	323.57	Å³ per cell
ΔE to the lowest computed polymorph	7.8	kJ per mole of atoms

a b c (Å): 6.2062 3.7932 13.7447
angles (deg): 90.00 90.00 90.00
Closest atoms and distances in Å follow each position.
Space group Pnma (No. 62)
Symmetry-distinct sites (fractional):
Cd 0.1345 0.2500 0.1682 x4  2 O 2.21
Hg 0.1491 0.7500 0.3927 x4  2 O 2.33, 1 S 2.51
S 0.2399 0.2500 0.5583 x4  1 Hg 2.51, 2 Cd 2.55
O 0.2199 0.7500 0.8145 x4  2 Cd 2.21, 2 Hg 2.33

(18)
Entry from OQMD: a geometry-optimized PrNd2In2Ni4 structure (PBE).

Properties
V	376.91	Å³ per cell
calculated total energy	-5.05	eV/atom
M_tot	0.0	μB per formula unit

a b c (Å): 10.1431 4.3263 8.6415
angles (deg): 90.00 96.32 90.00
Closest atoms and distances in Å follow each position.
Space group C2/m (No. 12)
Symmetry-distinct sites (fractional):
Pr 0.0000 0.0000 0.0000 x2  6 Ni 2.90-3.20
Nd 0.1281 0.5000 0.3824 x4  6 Ni 2.91-3.08, 1 In 3.24
In 0.1762 0.5000 0.7780 x4  5 Ni 2.61-2.70
Ni 0.0753 0.0000 0.6209 x4  1 Ni 2.45, 2 In 2.70
Ni 0.2301 0.5000 0.0811 x4  3 In 2.61-2.62, 2 Ni 2.63, 1 Pr 2.90, 1 Nd 2.91

(19)
Entry from OQMD: a geometry-optimized LiFeSn structure (PBE).

Properties
V	148.20	Å³ per cell
calculated total energy	-4.63	eV/atom
M_tot	2.3	μB per formula unit

a b c (Å): 7.6157 7.6157 2.9504
angles (deg): 90.00 90.00 120.00
Closest atoms and distances in Å follow each position.
Space group P-62m (No. 189)
Symmetry-distinct sites (fractional):
Li 0.0000 0.6317 0.0000 x3  5 Fe 2.80-2.83, 6 Sn 2.91-2.98, 2 Li 2.95
Fe 0.0000 0.0000 0.0000 x1  6 Sn 2.73, 3 Li 2.80, 2 Fe 2.95
Fe 0.3333 0.6667 0.5000 x2  3 Sn 2.67, 6 Li 2.83, 2 Fe 2.95
Sn 0.0000 0.3016 0.5000 x3  4 Fe 2.67-2.73, 6 Li 2.91-2.98, 2 Sn 2.95

(20)
Entry from OQMD: a geometry-optimized SmSbIr structure (PBE).

Properties
V	198.82	Å³ per cell
calculated total energy	-6.73	eV/atom
M_tot	0.0	μB per formula unit

a b c (Å): 7.4985 7.4985 4.0829
angles (deg): 90.00 90.00 120.00
Closest atoms and distances in Å follow each position.
Space group P-62m (No. 189)
Symmetry-distinct sites (fractional):
Sm 0.0000 0.5976 0.0000 x3  5 Ir 3.02-3.06, 6 Sb 3.23-3.35
Sb 0.0000 0.2633 0.5000 x3  4 Ir 2.80-2.84
Ir 0.0000 0.0000 0.0000 x1  6 Sb 2.84, 3 Sm 3.02
Ir 0.3333 0.6667 0.5000 x2  3 Sb 2.80, 6 Sm 3.06

(21)
Entry from OQMD: a geometry-optimized Sn4PdSe3 structure (PBE).

Properties
V	203.92	Å³ per cell
calculated total energy	-4.32	eV/atom

a b c (Å): 4.1588 4.1389 11.9647
angles (deg): 90.00 98.04 90.00
Closest atoms and distances in Å follow each position.
Space group Pm (No. 6)
Symmetry-distinct sites (fractional):
Sn 0.0000 0.0000 0.0000 x1  5 Se 2.83-3.01
Sn 0.1228 0.5000 0.2757 x1  1 Pd 2.68, 4 Se 2.96
Sn 0.4539 0.5000 0.7290 x1  5 Se 2.74-3.07, 1 Pd 2.75
Sn 0.7212 0.0000 0.4814 x1  1 Se 2.80, 4 Pd 2.92-2.97
Pd 0.2384 0.5000 0.5014 x1  6 Sn 2.68-2.97
Se 0.4958 0.5000 0.9597 x1  5 Sn 2.74-3.01
Se 0.6107 0.0000 0.2452 x1  5 Sn 2.80-2.96
Se 0.9301 0.0000 0.7614 x1  5 Sn 2.83-3.07

(22)
Entry from OQMD: a geometry-optimized GdTlZnSe3 structure (PBE).

Properties
V	630.53	Å³ per cell
ΔE to the lowest computed polymorph	5.0	kJ per mole of atoms
M_tot	0.0	μB per formula unit

a b c (Å): 11.7131 4.2919 12.5426
angles (deg): 90.00 90.00 90.00
Closest atoms and distances in Å follow each position.
Space group Pnma (No. 62)
Symmetry-distinct sites (fractional):
Gd 0.0229 0.2500 0.1756 x4  7 Se 2.94-3.29
Tl 0.1702 0.2500 0.5016 x4  7 Se 3.23-3.53, 2 Zn 3.45
Zn 0.2493 0.7500 0.2989 x4  4 Se 2.46-2.53
Se 0.0428 0.7500 0.3344 x4  1 Zn 2.46
Se 0.1003 0.2500 0.9383 x4  1 Zn 2.48
Se 0.2213 0.7500 0.6950 x4  2 Zn 2.53

(23)
Entry from OQMD: a geometry-optimized SrScAgTe2S structure (PBE).

Properties
V	636.52	Å³ per cell
calculated total energy	-4.75	eV/atom
M_tot	0.0	μB per formula unit

a b c (Å): 4.2286 14.3499 10.4899
angles (deg): 90.00 90.00 90.00
Closest atoms and distances in Å follow each position.
Space group Cmcm (No. 63)
Symmetry-distinct sites (fractional):
Sr 0.0000 0.2314 0.2500 x4  2 S 3.06, 2 Te 3.38
Sc 0.0000 0.5000 0.0000 x4  2 S 2.84, 4 Te 2.98
Ag 0.0000 0.0198 0.7500 x4  2 S 2.53, 2 Te 2.75
Te 0.0000 0.1422 0.5479 x8  1 Ag 2.75, 2 Sc 2.98
S 0.0000 0.4231 0.7500 x4  2 Ag 2.53

(24)
Entry from OQMD: a geometry-optimized SmInGe structure (PBE).

Properties
V	218.16	Å³ per cell
calculated total energy	-4.55	eV/atom
M_tot	0.0	μB per formula unit

a b c (Å): 7.6387 7.6387 4.3173
angles (deg): 90.00 90.00 120.00
Closest atoms and distances in Å follow each position.
Space group P-62m (No. 189)
Symmetry-distinct sites (fractional):
Sm 0.0000 0.6140 0.0000 x3  5 Ge 2.95-3.21
In 0.0000 0.2664 0.5000 x3  4 Ge 2.84-2.97
Ge 0.0000 0.0000 0.0000 x1  3 Sm 2.95, 6 In 2.97
Ge 0.3333 0.6667 0.5000 x2  3 In 2.84